No. 1
Below is a relaxed Er3TmPu3S8 crystal, with properties calculated at the PBE level.

Summary:
The space group is No. 166. Its density of states at the Fermi level is 28.76 states/eV/cell. The value obtained for the uncorrected formation energy is -1.93 eV per atom. The value obtained for the magnetic moment is 1.14 μB per atom.

Unit cell a=7.797 b=7.797 c=7.829 alpha=119.87 beta=90.00 gamma=120.00
Site moments in Bohr magnetons follow the coordinates.
Fractional coordinates of all 15 atoms:
S (0.753, 0.006, 0.259)  -0.04
S (0.247, 0.494, 0.741)  -0.04
S (0.748, 0.496, 0.744)  -0.06
S (0.247, 0.994, 0.741)  -0.04
S (0.753, 0.506, 0.259)  -0.04
S (0.253, 0.006, 0.259)  -0.04
S (0.747, 0.994, 0.741)  -0.04
S (0.252, 0.504, 0.256)  -0.06
Pu (0.000, 0.000, 0.000)  5.33
Pu (0.500, 0.500, 0.000)  5.33
Pu (0.000, 0.500, 0.000)  5.33
Er (0.000, 0.500, 0.500)  0.04
Er (0.500, 0.500, 0.500)  0.04
Er (0.500, 0.000, 0.500)  0.04
Tm (0.000, 0.000, 0.500)  0.11

---

No. 2
Below is a relaxed Er3Tm2PuS6 crystal, with properties calculated at the PBE level.

Summary:
The space group is No. 12. Its density of states at the Fermi level is 6.56 states/eV/cell. The value obtained for the uncorrected formation energy is -1.94 eV per atom. The value obtained for the magnetic moment is 0.49 μB per atom.

Unit cell a=3.853 b=7.769 c=8.655 alpha=102.96 beta=102.86 gamma=90.00
Site moments in Bohr magnetons follow the coordinates.
Fractional coordinates of all 12 atoms:
Er (0.164, 0.836, 0.329)  0.03
Er (0.836, 0.164, 0.671)  0.03
Er (0.500, 0.500, 0.000)  0.00
S (0.000, 0.744, 0.999)  -0.04
S (0.000, 0.256, 0.001)  -0.04
S (0.670, 0.087, 0.340)  -0.01
S (0.330, 0.913, 0.660)  -0.01
S (0.668, 0.582, 0.337)  0.01
S (0.332, 0.418, 0.663)  0.01
Tm (0.164, 0.328, 0.327)  0.05
Tm (0.836, 0.672, 0.673)  0.05
Pu (0.500, 0.000, 0.000)  5.36

---

No. 3
Below is a relaxed ErTm2PuS6 crystal, with properties calculated at the PBE level.

Summary:
The space group is No. 146. Its density of states at the Fermi level is 11.71 states/eV/cell. The value obtained for the uncorrected formation energy is -1.92 eV per atom. The value obtained for the magnetic moment is 0.50 μB per atom.

Unit cell a=6.864 b=6.864 c=7.328 alpha=62.08 beta=62.08 gamma=60.00
Site moments in Bohr magnetons follow the coordinates.
Fractional coordinates of all 10 atoms:
S (0.126, 0.402, 0.751)  -0.03
S (0.721, 0.126, 0.751)  -0.03
S (0.224, 0.912, 0.248)  -0.03
S (0.402, 0.721, 0.751)  -0.03
S (0.617, 0.224, 0.248)  -0.03
S (0.912, 0.617, 0.248)  -0.03
Pu (0.814, 0.814, 0.557)  5.01
Er (0.316, 0.316, 0.051)  0.01
Tm (0.516, 0.516, 0.453)  0.02
Tm (0.014, 0.014, 0.957)  0.02

---

No. 4
Below is a relaxed Er2TmPuS6 crystal, with properties calculated at the PBE level.

Summary:
The space group is No. 146. Its density of states at the Fermi level is 11.73 states/eV/cell. The value obtained for the uncorrected formation energy is -1.92 eV per atom. The value obtained for the magnetic moment is 0.50 μB per atom.

Unit cell a=6.873 b=6.874 c=7.340 alpha=62.08 beta=62.08 gamma=60.00
Site moments in Bohr magnetons follow the coordinates.
Fractional coordinates of all 10 atoms:
S (0.405, 0.718, 0.753)  -0.03
S (0.222, 0.916, 0.248)  -0.03
S (0.916, 0.613, 0.248)  -0.03
S (0.124, 0.405, 0.753)  -0.03
S (0.718, 0.124, 0.753)  -0.03
S (0.613, 0.222, 0.248)  -0.03
Er (0.516, 0.516, 0.451)  0.02
Er (0.015, 0.015, 0.956)  0.02
Pu (0.815, 0.815, 0.556)  5.01
Tm (0.317, 0.317, 0.049)  0.01